Density functional theory data (PBE) for a relaxed CeLuS crystal.

Its density of states at the Fermi level is 6.2 states/eV/f.u. For the formation energy (no corrections), the calculation gives -1.144 eV/atom. The space group is P3m1, No. 156.

Cell and atoms, written as extended XYZ:
```
3
Lattice="3.727 0.000 0.000 -1.863 3.228 0.000 0.000 0.000 6.478" Properties=species:S:1:pos:R:3 pbc="T T T"
Ce 0.000 0.000 0.000
Lu 0.000 2.152 3.402
S 1.863 1.076 1.824
```

Density functional theory data (PBE) for a relaxed CeLu2S crystal.

Its density of states at the Fermi level is 6.5 states/eV/f.u. For the formation energy (no corrections), the calculation gives -0.661 eV/atom. The space group is R-3m, No. 166.

Cell and atoms, written as extended XYZ:
```
4
Lattice="1.750 1.010 9.994 -1.750 1.010 9.994 0.000 -2.020 9.994" Properties=species:S:1:pos:R:3 pbc="T T T"
Ce 0.000 0.000 0.000
Lu 0.000 0.000 3.323
Lu 0.000 0.000 26.661
S 0.000 0.000 14.992
```

Density functional theory data (PBE) for a relaxed Ce2LuSb crystal.

Its density of states at the Fermi level is 12.1 states/eV/f.u. Its offset from the most stable computed form is 334 meV/atom. For the formation energy (no corrections), the calculation gives -0.167 eV/atom. The space group is R-3m, No. 166.

Cell and atoms, written as extended XYZ:
```
4
Lattice="1.963 1.134 9.635 -1.963 1.134 9.635 0.000 -2.267 9.635" Properties=species:S:1:pos:R:3 pbc="T T T"
Ce 0.000 0.000 6.937
Ce 0.000 0.000 21.966
Lu 0.000 0.000 0.000
Sb 0.000 0.000 14.452
```